## Y2InTcC (PBE-GGA)

Data for a geometry-optimized Y2InTcC structure.

The structure in POSCAR format:
```
Y2InTcC
1.0
-1.1224 -3.2958 -3.5856
1.7170 -3.7111 2.8737
-3.6710 -0.4724 1.5834
C In Tc Y
1 1 1 2
direct
0.0000 0.0000 0.0000
0.5000 0.5000 0.5000
0.0000 0.0000 0.5000
0.5000 0.0000 0.0000
0.0000 0.5000 0.0000
```

As for the total energy: -37.3 eV for the cell shown. Its space group is P4/mmm (123). The total magnetization comes out at 0.0 μB per formula unit.